# SrCuAg2 (PBE, optimized geometry)
data_SrCuAg2
_cell_length_a 3.8702
_cell_length_b 4.3194
_cell_length_c 5.9178
_cell_angle_alpha 90.00
_cell_angle_beta 107.62
_cell_angle_gamma 90.00
_space_group_name_H-M_alt 'P 1 m 1'
_space_group_IT_number 6
loop_
_space_group_symop_operation_xyz
'x,y,z'
'x,-y,z'
loop_
_atom_site_label
_atom_site_type_symbol
_atom_site_fract_x
_atom_site_fract_y
_atom_site_fract_z
_atom_site_occupancy
Sr1 Sr 0.0000 0.0000 0.0000 1
Cu1 Cu 0.4005 0.5000 0.7830 1
Ag1 Ag 0.2833 0.0000 0.5343 1
Ag2 Ag 0.7228 0.5000 0.4147 1
# E_form: 19.2 meV per atom
# distance to the lowest polymorph of the same formula: 131 meV per atom
# calculated volume: 94.3 Å³/cell
# total magnetic moment: 0.0 μB/f.u.

# Ho2AlRh (PBE, optimized geometry)
data_Ho2AlRh
_cell_length_a 3.2890
_cell_length_b 3.2890
_cell_length_c 29.5879
_cell_angle_alpha 90.00
_cell_angle_beta 90.00
_cell_angle_gamma 120.00
_space_group_name_H-M_alt 'R -3 m'
_space_group_IT_number 166
_space_group_name_Hall '-R 3 2"'
loop_
_atom_site_label
_atom_site_type_symbol
_atom_site_fract_x
_atom_site_fract_y
_atom_site_fract_z
_atom_site_occupancy
Ho1 Ho 0.0000 0.0000 0.0857 1
Al1 Al 0.0000 0.0000 0.5000 1
Rh1 Rh 0.0000 0.0000 0.0000 1
# E_form: 43.9 meV per atom
# distance to the lowest polymorph of the same formula: 701 meV per atom
# calculated volume: 277.2 Å³/cell
# total magnetic moment: 0.0 μB/f.u.

# HS (PBE, optimized geometry)
data_HS
_cell_length_a 4.6672
_cell_length_b 8.2066
_cell_length_c 8.6109
_cell_angle_alpha 90.00
_cell_angle_beta 90.00
_cell_angle_gamma 90.00
_space_group_name_H-M_alt 'P 21 21 21'
_space_group_IT_number 19
loop_
_space_group_symop_operation_xyz
'x,y,z'
'-x+1/2,-y,z+1/2'
'x+1/2,-y+1/2,-z'
'-x,y+1/2,-z+1/2'
loop_
_atom_site_label
_atom_site_type_symbol
_atom_site_fract_x
_atom_site_fract_y
_atom_site_fract_z
_atom_site_occupancy
H1 H 0.1329 0.0165 0.0956 1
H2 H 0.1958 0.3539 0.0868 1
S1 S 0.1088 0.9417 0.6596 1
S2 S 0.1513 0.5051 0.0256 1
# distance to the lowest polymorph of the same formula: 0 meV per atom
# calculated volume: 329.8 Å³/cell
# total magnetic moment: 0.0 μB/f.u.

# Li2NbCu2 (PBE, optimized geometry)
data_Li2NbCu2
_cell_length_a 3.3839
_cell_length_b 3.3839
_cell_length_c 12.6366
_cell_angle_alpha 90.00
_cell_angle_beta 90.00
_cell_angle_gamma 90.00
_space_group_name_H-M_alt 'I 4/m m m'
_space_group_IT_number 139
_space_group_name_Hall '-I 4 2'
loop_
_atom_site_label
_atom_site_type_symbol
_atom_site_fract_x
_atom_site_fract_y
_atom_site_fract_z
_atom_site_occupancy
Li1 Li 0.0000 0.5000 0.2500 1
Nb1 Nb 0.0000 0.0000 0.0000 1
Cu1 Cu 0.0000 0.0000 0.4014 1
# E_form: 259.9 meV per atom
# distance to the lowest polymorph of the same formula: 137 meV per atom
# calculated volume: 144.7 Å³/cell
# total magnetic moment: 0.0 μB/f.u.

# Ba2CaTe (PBE, optimized geometry)
data_Ba2CaTe
_cell_length_a 8.7761
_cell_length_b 8.7761
_cell_length_c 8.7761
_cell_angle_alpha 90.00
_cell_angle_beta 90.00
_cell_angle_gamma 90.00
_space_group_name_H-M_alt 'F -4 3 m'
_space_group_IT_number 216
_space_group_name_Hall 'F -4 2 3'
loop_
_atom_site_label
_atom_site_type_symbol
_atom_site_fract_x
_atom_site_fract_y
_atom_site_fract_z
_atom_site_occupancy
Ba1 Ba 0.0000 0.0000 0.0000 1
Ba2 Ba 0.2500 0.2500 0.2500 1
Ca1 Ca 0.0000 0.0000 0.5000 1
Te1 Te 0.2500 0.2500 0.7500 1
# ΔE_f (raw): -0.31 eV per atom
# calculated volume: 675.9 Å³/cell
# total magnetic moment: 0.0 μB/f.u.

# P2OsSe (PBE, optimized geometry)
data_P2OsSe
_cell_length_a 3.9931
_cell_length_b 4.1015
_cell_length_c 4.6169
_cell_angle_alpha 100.35
_cell_angle_beta 93.74
_cell_angle_gamma 110.59
_space_group_name_H-M_alt 'P 1'
_space_group_IT_number 1
loop_
_space_group_symop_operation_xyz
'x,y,z'
loop_
_atom_site_label
_atom_site_type_symbol
_atom_site_fract_x
_atom_site_fract_y
_atom_site_fract_z
_atom_site_occupancy
P1 P 0.0000 0.0000 0.0000 1
P2 P 0.2088 0.6320 0.1985 1
Os1 Os 0.4081 0.7812 0.7434 1
Se1 Se 0.6969 0.3364 0.5651 1
# ΔE_f (raw): 0.07 eV per atom
# calculated volume: 68.9 Å³/cell
# total magnetic moment: 0.0 μB/f.u.

# ScGaCo2H (PBE, optimized geometry)
data_ScGaCo2H
_cell_length_a 3.0024
_cell_length_b 10.8903
_cell_length_c 7.1824
_cell_angle_alpha 90.00
_cell_angle_beta 90.00
_cell_angle_gamma 90.00
_space_group_name_H-M_alt 'C m c m'
_space_group_IT_number 63
_space_group_name_Hall '-C 2c 2'
loop_
_atom_site_label
_atom_site_type_symbol
_atom_site_fract_x
_atom_site_fract_y
_atom_site_fract_z
_atom_site_occupancy
Sc1 Sc 0.0000 0.0197 0.2500 1
Ga1 Ga 0.0000 0.2499 0.7500 1
Co1 Co 0.0000 0.3553 0.0419 1
H1 H 0.0000 0.5000 0.0000 1
# distance to the lowest polymorph of the same formula: 0 meV per atom
# calculated volume: 234.8 Å³/cell
# total magnetic moment: 0.0 μB/f.u.

# TlNiC2 (PBE, optimized geometry)
data_TlNiC2
_cell_length_a 5.7540
_cell_length_b 5.7540
_cell_length_c 5.7540
_cell_angle_alpha 90.00
_cell_angle_beta 90.00
_cell_angle_gamma 90.00
_space_group_name_H-M_alt 'F m -3 m'
_space_group_IT_number 225
_space_group_name_Hall '-F 4 2 3'
loop_
_atom_site_label
_atom_site_type_symbol
_atom_site_fract_x
_atom_site_fract_y
_atom_site_fract_z
_atom_site_occupancy
Tl1 Tl 0.0000 0.0000 0.0000 1
Ni1 Ni 0.0000 0.0000 0.5000 1
C1 C 0.2500 0.2500 0.2500 1
# E_form: 2285.3 meV per atom
# distance to the lowest polymorph of the same formula: 806 meV per atom
# calculated volume: 190.5 Å³/cell
# total magnetic moment: 0.0 μB/f.u.